(1)
A relaxed AcPrNO crystal. Source: the Open Quantum Materials Database, functional PBE.

Calculated values
The energy above the most stable polymorph in this dataset is 62 meV/atom. Its total energy is -7.40 eV/atom. Its space group is No. 29.

Cell lengths 7.2416, 8.6697, 5.4640 Å; angles 90.00, 90.00, 90.00 degrees
Fractional positions:
Ac 0.0792 0.1329 0.0000
Ac 0.4208 0.1329 0.5000
Ac 0.5792 0.8671 0.0000
Ac 0.9208 0.8671 0.5000
Pr 0.0795 0.6179 0.0010
Pr 0.4205 0.6179 0.5010
Pr 0.5795 0.3821 0.0010
Pr 0.9205 0.3821 0.5010
N 0.0641 0.1366 0.4975
N 0.4359 0.1366 0.9975
N 0.5641 0.8634 0.4975
N 0.9359 0.8634 0.9975
O 0.0949 0.6197 0.5055
O 0.4051 0.6197 0.0055
O 0.5949 0.3803 0.5055
O 0.9051 0.3803 0.0055



(2)
A relaxed NdYCu2Sb4 crystal. Source: the Open Quantum Materials Database, functional PBE.

Calculated values
Its total energy is -5.04 eV/atom. Its space group is No. 99.

Cell lengths 4.3333, 4.3333, 9.9611 Å; angles 90.00, 90.00, 90.00 degrees
Fractional positions:
Nd 0.0000 0.0000 0.0000
Y 0.5000 0.5000 0.4993
Cu 0.0000 0.5000 0.2535
Cu 0.5000 0.0000 0.2535
Sb 0.0000 0.0000 0.4102
Sb 0.0000 0.5000 0.7449
Sb 0.5000 0.0000 0.7449
Sb 0.5000 0.5000 0.0959